No. 1
Below is a relaxed Cs2VRh2 crystal, with properties calculated at the PBE level.

Structure (CIF):
```
data_Cs2VRh2
_chemical_formula_sum 'Cs4 V2 Rh4'
_cell_length_a 6.554
_cell_length_b 6.554
_cell_length_c 6.163
_cell_angle_alpha 90.00
_cell_angle_beta 90.00
_cell_angle_gamma 90.00
_symmetry_space_group_name_H-M 'P 4/m b m'
_symmetry_Int_Tables_number 127
_symmetry_space_group_name_Hall '-P 4 2ab'
loop_
_atom_site_label
_atom_site_type_symbol
_atom_site_fract_x
_atom_site_fract_y
_atom_site_fract_z
_atom_site_occupancy
Cs1 Cs 0.183 0.317 0.000 1
V1 V 0.000 0.000 0.500 1
Rh1 Rh 0.142 0.642 0.500 1
```

No. 2
Below is a relaxed CsVRh3 crystal, with properties calculated at the PBE level.

Structure (CIF):
```
data_CsVRh3
_chemical_formula_sum 'Cs1 V1 Rh3'
_cell_length_a 4.719
_cell_length_b 4.719
_cell_length_c 4.719
_cell_angle_alpha 90.00
_cell_angle_beta 90.00
_cell_angle_gamma 90.00
_symmetry_space_group_name_H-M 'P m -3 m'
_symmetry_Int_Tables_number 221
_symmetry_space_group_name_Hall '-P 4 2 3'
loop_
_atom_site_label
_atom_site_type_symbol
_atom_site_fract_x
_atom_site_fract_y
_atom_site_fract_z
_atom_site_occupancy
Cs1 Cs 0.000 0.000 0.000 1
V1 V 0.500 0.500 0.500 1
Rh1 Rh 0.000 0.500 0.500 1
```

Calculated values
Relative energy among the computed polymorphs, meV/atom: 0.0

No. 3
Below is a relaxed Cs3VRh crystal, with properties calculated at the PBE level.

Structure (CIF):
```
data_Cs3VRh
_chemical_formula_sum 'Cs3 V1 Rh1'
_cell_length_a 6.187
_cell_length_b 6.187
_cell_length_c 6.187
_cell_angle_alpha 90.00
_cell_angle_beta 90.00
_cell_angle_gamma 90.00
_symmetry_space_group_name_H-M 'P m -3 m'
_symmetry_Int_Tables_number 221
_symmetry_space_group_name_Hall '-P 4 2 3'
loop_
_atom_site_label
_atom_site_type_symbol
_atom_site_fract_x
_atom_site_fract_y
_atom_site_fract_z
_atom_site_occupancy
Cs1 Cs 0.000 0.000 0.500 1
V1 V 0.500 0.500 0.500 1
Rh1 Rh 0.000 0.000 0.000 1
```

Calculated values
Relative energy among the computed polymorphs, meV/atom: 0.0

No. 4
Below is a relaxed CsVRh3 crystal, with properties calculated at the PBE level.

Structure (CIF):
```
data_CsVRh3
_chemical_formula_sum 'Cs1 V1 Rh3'
_cell_length_a 4.897
_cell_length_b 4.897
_cell_length_c 4.897
_cell_angle_alpha 90.00
_cell_angle_beta 90.00
_cell_angle_gamma 90.00
_symmetry_space_group_name_H-M 'P m -3 m'
_symmetry_Int_Tables_number 221
_symmetry_space_group_name_Hall '-P 4 2 3'
loop_
_atom_site_label
_atom_site_type_symbol
_atom_site_fract_x
_atom_site_fract_y
_atom_site_fract_z
_atom_site_occupancy
Cs1 Cs 0.000 0.000 0.000 1
V1 V 0.500 0.500 0.500 1
Rh1 Rh 0.000 0.000 0.500 1
```

Calculated values
Relative energy among the computed polymorphs, meV/atom: 1491.7

No. 5
Below is a relaxed CsRh3W crystal, with properties calculated at the PBE level.

Structure (CIF):
```
data_CsRh3W
_chemical_formula_sum 'Cs1 Rh3 W1'
_cell_length_a 4.861
_cell_length_b 4.861
_cell_length_c 4.861
_cell_angle_alpha 90.00
_cell_angle_beta 90.00
_cell_angle_gamma 90.00
_symmetry_space_group_name_H-M 'P m -3 m'
_symmetry_Int_Tables_number 221
_symmetry_space_group_name_Hall '-P 4 2 3'
loop_
_atom_site_label
_atom_site_type_symbol
_atom_site_fract_x
_atom_site_fract_y
_atom_site_fract_z
_atom_site_occupancy
Cs1 Cs 0.000 0.000 0.000 1
Rh1 Rh 0.000 0.000 0.500 1
W1 W 0.500 0.500 0.500 1
```

Calculated values
Relative energy among the computed polymorphs, meV/atom: 1862.1

No. 6
Below is a relaxed Cs3RhW crystal, with properties calculated at the PBE level.

Structure (CIF):
```
data_Cs3RhW
_chemical_formula_sum 'Cs3 Rh1 W1'
_cell_length_a 6.153
_cell_length_b 6.153
_cell_length_c 6.153
_cell_angle_alpha 90.00
_cell_angle_beta 90.00
_cell_angle_gamma 90.00
_symmetry_space_group_name_H-M 'P m -3 m'
_symmetry_Int_Tables_number 221
_symmetry_space_group_name_Hall '-P 4 2 3'
loop_
_atom_site_label
_atom_site_type_symbol
_atom_site_fract_x
_atom_site_fract_y
_atom_site_fract_z
_atom_site_occupancy
Cs1 Cs 0.000 0.000 0.500 1
Rh1 Rh 0.000 0.000 0.000 1
W1 W 0.500 0.500 0.500 1
```

No. 7
Below is a relaxed Cs2RhW2 crystal, with properties calculated at the PBE level.

Structure (CIF):
```
data_Cs2RhW2
_chemical_formula_sum 'Cs4 Rh2 W4'
_cell_length_a 10.987
_cell_length_b 10.987
_cell_length_c 3.138
_cell_angle_alpha 90.00
_cell_angle_beta 90.00
_cell_angle_gamma 90.00
_symmetry_space_group_name_H-M 'P 4/m b m'
_symmetry_Int_Tables_number 127
_symmetry_space_group_name_Hall '-P 4 2ab'
loop_
_atom_site_label
_atom_site_type_symbol
_atom_site_fract_x
_atom_site_fract_y
_atom_site_fract_z
_atom_site_occupancy
Cs1 Cs 0.215 0.285 0.000 1
Rh1 Rh 0.000 0.000 0.000 1
W1 W 0.069 0.569 0.500 1
```

No. 8
Below is a relaxed CsRh3W crystal, with properties calculated at the PBE level.

Structure (CIF):
```
data_CsRh3W
_chemical_formula_sum 'Cs1 Rh3 W1'
_cell_length_a 4.878
_cell_length_b 4.878
_cell_length_c 4.878
_cell_angle_alpha 90.00
_cell_angle_beta 90.00
_cell_angle_gamma 90.00
_symmetry_space_group_name_H-M 'P m -3 m'
_symmetry_Int_Tables_number 221
_symmetry_space_group_name_Hall '-P 4 2 3'
loop_
_atom_site_label
_atom_site_type_symbol
_atom_site_fract_x
_atom_site_fract_y
_atom_site_fract_z
_atom_site_occupancy
Cs1 Cs 0.000 0.000 0.000 1
Rh1 Rh 0.000 0.500 0.500 1
W1 W 0.500 0.500 0.500 1
```

Calculated values
Relative energy among the computed polymorphs, meV/atom: 0.0

No. 9
Below is a relaxed CsYRh3 crystal, with properties calculated at the PBE level.

Structure (CIF):
```
data_CsYRh3
_chemical_formula_sum 'Cs1 Y1 Rh3'
_cell_length_a 4.950
_cell_length_b 4.950
_cell_length_c 4.950
_cell_angle_alpha 90.00
_cell_angle_beta 90.00
_cell_angle_gamma 90.00
_symmetry_space_group_name_H-M 'P m -3 m'
_symmetry_Int_Tables_number 221
_symmetry_space_group_name_Hall '-P 4 2 3'
loop_
_atom_site_label
_atom_site_type_symbol
_atom_site_fract_x
_atom_site_fract_y
_atom_site_fract_z
_atom_site_occupancy
Cs1 Cs 0.000 0.000 0.000 1
Y1 Y 0.500 0.500 0.500 1
Rh1 Rh 0.000 0.000 0.500 1
```

Calculated values
Relative energy among the computed polymorphs, meV/atom: 428.7

No. 10
Below is a relaxed CsY3Rh crystal, with properties calculated at the PBE level.

Structure (CIF):
```
data_CsY3Rh
_chemical_formula_sum 'Cs1 Y3 Rh1'
_cell_length_a 5.602
_cell_length_b 5.602
_cell_length_c 5.602
_cell_angle_alpha 90.00
_cell_angle_beta 90.00
_cell_angle_gamma 90.00
_symmetry_space_group_name_H-M 'P m -3 m'
_symmetry_Int_Tables_number 221
_symmetry_space_group_name_Hall '-P 4 2 3'
loop_
_atom_site_label
_atom_site_type_symbol
_atom_site_fract_x
_atom_site_fract_y
_atom_site_fract_z
_atom_site_occupancy
Cs1 Cs 0.000 0.000 0.000 1
Y1 Y 0.000 0.500 0.500 1
Rh1 Rh 0.500 0.500 0.500 1
```

Calculated values
Relative energy among the computed polymorphs, meV/atom: 0.0

No. 11
Below is a relaxed Cs3YRh crystal, with properties calculated at the PBE level.

Structure (CIF):
```
data_Cs3YRh
_chemical_formula_sum 'Cs3 Y1 Rh1'
_cell_length_a 6.359
_cell_length_b 6.359
_cell_length_c 6.359
_cell_angle_alpha 90.00
_cell_angle_beta 90.00
_cell_angle_gamma 90.00
_symmetry_space_group_name_H-M 'P m -3 m'
_symmetry_Int_Tables_number 221
_symmetry_space_group_name_Hall '-P 4 2 3'
loop_
_atom_site_label
_atom_site_type_symbol
_atom_site_fract_x
_atom_site_fract_y
_atom_site_fract_z
_atom_site_occupancy
Cs1 Cs 0.000 0.000 0.500 1
Y1 Y 0.500 0.500 0.500 1
Rh1 Rh 0.000 0.000 0.000 1
```

No. 12
Below is a relaxed Cs2YRh2 crystal, with properties calculated at the PBE level.

Structure (CIF):
```
data_Cs2YRh2
_chemical_formula_sum 'Cs4 Y2 Rh4'
_cell_length_a 4.509
_cell_length_b 4.509
_cell_length_c 14.663
_cell_angle_alpha 90.00
_cell_angle_beta 90.00
_cell_angle_gamma 90.00
_symmetry_space_group_name_H-M 'I 4/m m m'
_symmetry_Int_Tables_number 139
_symmetry_space_group_name_Hall '-I 4 2'
loop_
_atom_site_label
_atom_site_type_symbol
_atom_site_fract_x
_atom_site_fract_y
_atom_site_fract_z
_atom_site_occupancy
Cs1 Cs 0.000 0.500 0.250 1
Y1 Y 0.000 0.000 0.000 1
Rh1 Rh 0.000 0.000 0.417 1
```

Number 1: calculated total energy -4.4274 eV/atom, V 132.4 Å³/f.u.. Number 2: calculated total energy -5.6584 eV/atom, V 105.1 Å³/f.u.. Number 3: calculated total energy -2.6629 eV/atom, V 236.8 Å³/f.u.. Number 4: calculated total energy -4.1666 eV/atom, V 117.5 Å³/f.u.. Number 5: calculated total energy -4.3945 eV/atom, V 114.9 Å³/f.u.. Number 6: calculated total energy -2.9636 eV/atom, V 233.0 Å³/f.u.. Number 7: calculated total energy -4.7779 eV/atom, V 189.4 Å³/f.u.. Number 8: calculated total energy -6.2566 eV/atom, V 116.1 Å³/f.u.. Number 9: calculated total energy -4.5333 eV/atom, V 121.3 Å³/f.u.. Number 10: calculated total energy -5.5512 eV/atom, V 175.8 Å³/f.u.. Number 11: calculated total energy -2.3353 eV/atom, V 257.1 Å³/f.u.. Number 12: calculated total energy -3.8137 eV/atom, V 149.0 Å³/f.u..